Model a:
Here is Pr3Y3Te2Pt after structural relaxation from OQMD via LeMat-Bulk. Energies are from PBE.

Density ... 7279 kg/m3
Spin magnetization ... 0.00 μB/f.u.

Unit cell a=8.6922 b=8.6922 c=3.9739 alpha=90.00 beta=90.00 gamma=120.00
Closest atoms and distances in Å follow each position.
Positions (direct):
Pr  0.7500  0.0000  0.5000  2 Pt 2.94
Pr  0.2500  0.2500  0.5000  2 Pt 2.94
Pr  0.0000  0.7500  0.5000  2 Pt 2.94
Pt  0.0000  0.0000  0.0000  6 Pr 2.94
Te  0.6667  0.3333  0.5000  6 Y 3.30, 3 Pr 3.32
Te  0.3333  0.6667  0.5000  6 Y 3.30, 3 Pr 3.32
Y  0.4067  0.0000  0.0000  4 Te 3.30, 1 Pt 3.54, 6 Pr 3.58-3.67
Y  0.0000  0.4067  0.0000  4 Te 3.30, 1 Pt 3.54, 6 Pr 3.58-3.67
Y  0.5933  0.5933  0.0000  4 Te 3.30, 1 Pt 3.54, 6 Pr 3.58-3.67

Model b:
Here is Pr3Y3Te2Pt after structural relaxation from OQMD via LeMat-Bulk. Energies are from PBE.

Density ... 7297 kg/m3
Spin magnetization ... 0.02 μB/f.u.

Unit cell a=8.5550 b=8.5550 c=4.0921 alpha=90.00 beta=90.00 gamma=120.00
Closest atoms and distances in Å follow each position.
Positions (direct):
Pr  0.4059  0.0000  0.0000  4 Te 3.31, 1 Pt 3.47, 6 Y 3.65
Pr  0.0000  0.4059  0.0000  4 Te 3.31, 1 Pt 3.47, 6 Y 3.65
Pr  0.5941  0.5941  0.0000  4 Te 3.31, 1 Pt 3.47, 6 Y 3.65
Pt  0.0000  0.0000  0.0000  6 Y 2.90
Te  0.6667  0.3333  0.5000  6 Pr 3.31, 3 Y 3.32
Te  0.3333  0.6667  0.5000  6 Pr 3.31, 3 Y 3.32
Y  0.7593  0.0000  0.5000  2 Pt 2.90
Y  0.2407  0.2407  0.5000  2 Pt 2.90
Y  0.0000  0.7593  0.5000  2 Pt 2.90

Q: Which of them is the most stable? A: model b.

Model a:
Here is PrPtW after structural relaxation from OQMD via LeMat-Bulk. Energies are from PBE.

Density ... 11460 kg/m3
Spin magnetization ... 2.86 μB/f.u.

Unit cell a=4.7403 b=4.7403 c=4.7403 alpha=60.00 beta=60.00 gamma=60.00
Closest atoms and distances in Å follow each position.
Positions (direct):
Pr  0.0000  0.0000  0.0000  4 W 2.90, 4 Pt 2.90
Pt  0.2500  0.2500  0.2500  4 Pr 2.90
W  0.7500  0.7500  0.7500  4 Pr 2.90

Model b:
Here is PrPtW after structural relaxation from OQMD via LeMat-Bulk. Energies are from PBE.

Density ... 11909 kg/m3
Spin magnetization ... 0.76 μB/f.u.

Unit cell a=4.6800 b=4.6800 c=4.6800 alpha=60.00 beta=60.00 gamma=60.00
Closest atoms and distances in Å follow each position.
Positions (direct):
Pr  0.2500  0.2500  0.2500  4 Pt 2.87
Pt  0.0000  0.0000  0.0000  4 Pr 2.87, 4 W 2.87
W  0.7500  0.7500  0.7500  4 Pt 2.87

Q: Which of them is the most stable? A: model b.